No. 1
Below is an optimized crystal structure of Sr2VNi, with properties calculated at the PBE-GGA level.

- ρ (Mg/m³) = 4.31
- crystal system = cubic
- N(E_F) (states/eV per cell) = 7.8
- E above lowest polymorph (eV/f.u.) = 0.54
- magnetization (μB/f.u.) = 4.763
- energy of formation from the pure elements (eV/f.u.) = 2.58

Cell: 7.601 7.601 7.601 Å, 90.00 90.00 90.00°
Space group Fm-3m (No. 225)
Inequivalent atoms, fractional coordinates:
Sr  0.250  0.250  0.250 [8 per cell]
V  0.000  0.000  0.000 [4 per cell]
Ni  0.000  0.000  0.500 [4 per cell]



No. 2
Below is an optimized crystal structure of SrV3Ni, with properties calculated at the PBE-GGA level.

- ρ (Mg/m³) = 5.59
- crystal system = cubic
- N(E_F) (states/eV per cell) = 8.9
- E above lowest polymorph (eV/f.u.) = 8.55
- magnetization (μB/f.u.) = 0.693
- energy of formation from the pure elements (eV/f.u.) = 13.04

Cell: 4.463 4.463 4.463 Å, 90.00 90.00 90.00°
Space group Pm-3m (No. 221)
Inequivalent atoms, fractional coordinates:
Sr  0.000  0.000  0.000 [1 per cell]
V  0.000  0.000  0.500 [3 per cell]
Ni  0.500  0.500  0.500 [1 per cell]



No. 3
Below is an optimized crystal structure of SrV3Ni, with properties calculated at the PBE-GGA level.

- ρ (Mg/m³) = 4.98
- crystal system = cubic
- N(E_F) (states/eV per cell) = 7.4
- E above lowest polymorph (eV/f.u.) = 0.00
- magnetization (μB/f.u.) = 4.374
- energy of formation from the pure elements (eV/f.u.) = 4.49

Cell: 4.637 4.637 4.637 Å, 90.00 90.00 90.00°
Space group Pm-3m (No. 221)
Inequivalent atoms, fractional coordinates:
Sr  0.000  0.000  0.000 [1 per cell]
V  0.000  0.500  0.500 [3 per cell]
Ni  0.500  0.500  0.500 [1 per cell]